## CsNiF2 (PBE+U)

Data for an optimized crystal structure of CsNiF2.

Unit cell a=3.556 b=3.556 c=22.346 alpha=90.00 beta=90.00 gamma=120.00
Element x y z (fractional)
Cs 0.000 0.000 0.000
Cs 0.333 0.667 0.667
Cs 0.667 0.333 0.333
Ni 0.000 0.000 0.500
Ni 0.333 0.667 0.167
Ni 0.667 0.333 0.833
F 0.000 0.000 0.126
F 0.000 0.000 0.874
F 0.333 0.667 0.541
F 0.333 0.667 0.792
F 0.667 0.333 0.208
F 0.667 0.333 0.459

Values from the calculation:
The calculation puts the density of states at the Fermi level at 0.88 states/eV per atom. As for the space group: No. 166. The calculation puts the density at 4.67 Mg/m³. As for the crystal system: trigonal. Its total energy is -3.0705 eV/atom. The total magnetic moment comes out at 1.585 μB per formula unit. The value obtained for the excess energy over the best structure of this formula in the dataset is 0.433 eV/atom.